1.
The following is a GGA-PBE calculation of a geometry-optimized PrCdAg3 structure, from Alexandria via LeMat-Bulk.

The space group is P2_1/m (No. 11) and the conventional cell measures 5.840, 5.926 and 6.477 Å, with angles of 90.00, 92.98 and 90.00 degrees. The distinct sites, in fractional coordinates, are Pr at (0.161, 0.250, 0.165), Cd at (0.075, 0.750, 0.372), Ag at (0.348, 0.004, 0.669) and Ag at (0.360, 0.750, 0.042).

The calculation puts the volume at 22.4 Å³/atom. The calculation puts the energy above the lowest structure with this stoichiometry at 0 meV/atom. The calculated formation energy is -201 meV/atom. The density of states at the Fermi level is 4.12 states/eV/cell.


2.
The following is a GGA-PBE calculation of a geometry-optimized Pr3Cd4Ag2 structure, from Alexandria via LeMat-Bulk.

The space group is C2/m (No. 12) and the conventional cell measures 11.172, 5.039 and 9.387 Å, with angles of 90.00, 120.13 and 90.00 degrees. The distinct sites, in fractional coordinates, are Pr at (0.000, 0.000, 0.000), Pr at (0.169, 0.500, 0.663), Cd at (0.051, 0.000, 0.383), Cd at (0.219, 0.500, 0.055) and Ag at (0.106, 0.500, 0.273).

The calculation puts the volume at 25.4 Å³/atom. The calculation puts the energy above the lowest structure with this stoichiometry at 0 meV/atom. The calculated formation energy is -321 meV/atom. The density of states at the Fermi level is 12.20 states/eV/cell.


3.
The following is a GGA-PBE calculation of a geometry-optimized Pr6CdAg structure, from Alexandria via LeMat-Bulk.

The space group is I4/mmm (No. 139) and the conventional cell measures 5.322, 5.322 and 18.199 Å, with angles of 90.00, 90.00 and 90.00 degrees. The distinct sites, in fractional coordinates, are Pr at (0.000, 0.000, 0.249), Pr at (0.000, 0.500, 0.109), Cd at (0.000, 0.000, 0.000) and Ag at (0.000, 0.000, 0.500).

The calculation puts the volume at 32.2 Å³/atom. The calculation puts the energy above the lowest structure with this stoichiometry at 0 meV/atom. The calculated formation energy is -126 meV/atom. The density of states at the Fermi level is 20.51 states/eV/cell.


4.
The following is a GGA-PBE calculation of a geometry-optimized Pr4Cd5Ag2 structure, from Alexandria via LeMat-Bulk.

The space group is P2/m (No. 10) and the conventional cell measures 7.958, 3.646 and 10.311 Å, with angles of 90.00, 94.48 and 90.00 degrees. The distinct sites, in fractional coordinates, are Pr at (0.167, 0.000, 0.377), Pr at (0.264, 0.000, 0.943), Cd at (0.196, 0.500, 0.661), Cd at (0.440, 0.500, 0.202), Cd at (0.500, 0.500, 0.500) and Ag at (0.061, 0.500, 0.135).

The calculation puts the volume at 27.1 Å³/atom. The calculated formation energy is -259 meV/atom. The density of states at the Fermi level is 9.97 states/eV/cell.